Entry 1:
Entry from Alexandria via LeMat-Bulk: Cd2NiBr after structural relaxation (PBE).

Cell lengths 6.808, 6.808, 6.808 Å; angles 152.73, 142.02, 47.39 degrees
Positions (direct):
Cd  0.000  0.000  0.000
Cd  0.660  0.160  0.500
Ni  0.172  0.672  0.500
Br  0.342  0.342  0.000

Computed properties:
calculated total energy = -2.3091 eV per atom
ρ = 6.81 Mg/m³
distance to the lowest polymorph of the same formula = 36.1 meV per atom
spin magnetization = 0.0 μB/cell
ΔE_f (raw) = 1.2 kJ/mol of atoms
D(E_F) = 1.251 states/eV/cell

=====

Entry 2:
Entry from Alexandria via LeMat-Bulk: Tb7PmNd3 after structural relaxation (PBE).

Cell lengths 7.016, 5.586, 10.104 Å; angles 90.00, 110.22, 90.00 degrees
Positions (direct):
Tb  0.000  0.000  0.000
Tb  0.144  0.500  0.289
Tb  0.321  0.500  0.638
Tb  0.415  0.000  0.830
Tb  0.585  0.000  0.170
Tb  0.679  0.500  0.362
Tb  0.856  0.500  0.711
Pm  0.500  0.000  0.500
Nd  0.000  0.000  0.500
Nd  0.282  0.500  0.000
Nd  0.718  0.500  0.000

Computed properties:
calculated total energy = -4.5422 eV per atom
ρ = 7.55 Mg/m³
distance to the lowest polymorph of the same formula = 0.0 meV per atom
spin magnetization = 0.0 μB/cell
energy of formation from the pure elements = 1.5 eV/f.u.
D(E_F) = 16.155 states/eV/cell

=====

Entry 3:
Entry from Alexandria via LeMat-Bulk: NpReP2 after structural relaxation (PBE).

Cell lengths 6.545, 6.545, 6.545 Å; angles 32.46, 32.46, 32.46 degrees
Positions (direct):
Np  0.000  0.000  0.000
Re  0.825  0.825  0.825
P  0.429  0.429  0.429
P  0.562  0.562  0.562

Computed properties:
calculated total energy = -9.4309 eV per atom
ρ = 11.22 Mg/m³
distance to the lowest polymorph of the same formula = 0.0 meV per atom
spin magnetization = 4.6 μB/cell
energy of formation from the pure elements = -1.5 eV/f.u.
D(E_F) = 6.986 states/eV/cell

=====

Entry 4:
Entry from Alexandria via LeMat-Bulk: U2SbH after structural relaxation (PBE).

Cell lengths 8.961, 8.961, 8.961 Å; angles 20.00, 20.00, 20.00 degrees
Positions (direct):
U  0.228  0.228  0.228
U  0.772  0.772  0.772
Sb  0.000  0.000  0.000
H  0.500  0.500  0.500

Computed properties:
calculated total energy = -7.4594 eV per atom
ρ = 13.50 Mg/m³
distance to the lowest polymorph of the same formula = 233.8 meV per atom
spin magnetization = 4.3 μB/cell
D(E_F) = 8.687 states/eV/cell

=====

Entry 5:
Entry from Alexandria via LeMat-Bulk: Tm2Ga8Rh after structural relaxation (PBE).

Cell lengths 4.283, 4.283, 11.067 Å; angles 90.00, 90.00, 90.00 degrees
Positions (direct):
Tm  0.000  0.000  0.190
Tm  0.000  0.000  0.810
Ga  0.000  0.500  0.000
Ga  0.000  0.500  0.377
Ga  0.000  0.500  0.623
Ga  0.500  0.000  0.000
Ga  0.500  0.000  0.377
Ga  0.500  0.000  0.623
Ga  0.500  0.500  0.193
Ga  0.500  0.500  0.807
Rh  0.000  0.000  0.500

Computed properties:
calculated total energy = -4.2228 eV per atom
ρ = 8.17 Mg/m³
spin magnetization = 0.0 μB/cell
energy of formation from the pure elements = -5.9 eV/f.u.
D(E_F) = 5.770 states/eV/cell

=====

Entry 6:
Entry from Alexandria via LeMat-Bulk: La5CdRh after structural relaxation (PBE).

Cell lengths 6.322, 6.322, 12.143 Å; angles 103.14, 103.14, 74.96 degrees
Positions (direct):
La  0.016  0.984  0.750
La  0.047  0.434  0.134
La  0.208  0.557  0.447
La  0.434  0.047  0.634
La  0.443  0.792  0.053
La  0.557  0.208  0.947
La  0.566  0.953  0.366
La  0.792  0.443  0.553
La  0.953  0.566  0.866
La  0.984  0.016  0.250
Cd  0.434  0.566  0.750
Cd  0.566  0.434  0.250
Rh  0.000  0.000  0.000
Rh  0.000  0.000  0.500

Computed properties:
calculated total energy = -4.9609 eV per atom
ρ = 6.73 Mg/m³
spin magnetization = 0.0 μB/cell
energy of formation from the pure elements = -1.8 eV/f.u.
D(E_F) = 16.554 states/eV/cell

=====

Entry 7:
Entry from Alexandria via LeMat-Bulk: Pm4TmCu5 after structural relaxation (PBE).

Cell lengths 3.517, 3.517, 17.863 Å; angles 90.00, 90.00, 90.00 degrees
Positions (direct):
Pm  0.000  0.000  0.101
Pm  0.000  0.000  0.305
Pm  0.000  0.000  0.695
Pm  0.000  0.000  0.899
Tm  0.000  0.000  0.500
Cu  0.500  0.500  0.000
Cu  0.500  0.500  0.203
Cu  0.500  0.500  0.411
Cu  0.500  0.500  0.589
Cu  0.500  0.500  0.797

Computed properties:
calculated total energy = -4.5840 eV per atom
ρ = 8.02 Mg/m³
spin magnetization = 0.0 μB/cell
energy of formation from the pure elements = -1.9 eV/f.u.
D(E_F) = 6.076 states/eV/cell

=====

Entry 8:
Entry from Alexandria via LeMat-Bulk: Mn2FeRh after structural relaxation (PBE).

Cell lengths 2.614, 4.081, 4.829 Å; angles 90.00, 100.92, 90.00 degrees
Positions (direct):
Mn  0.000  0.000  0.000
Mn  0.259  0.500  0.759
Fe  0.482  0.000  0.521
Rh  0.748  0.500  0.259

Computed properties:
calculated total energy = -8.3853 eV per atom
ρ = 8.82 Mg/m³
distance to the lowest polymorph of the same formula = 212.7 meV per atom
spin magnetization = 7.6 μB/cell
energy of formation from the pure elements = 0.6 eV/f.u.
D(E_F) = 5.099 states/eV/cell

=====

> Which of these has the highest ρ?

U2SbH

=====

> What is the calculated total energy in the fourth record?

-7.4594 eV per atom